[1]
Density functional theory data (PBE) for Tl3Bi2Pd8 after structural relaxation.

POSCAR file:
```
Tl3Bi2Pd8
1.0
5.4623 0.0000 0.1153
0.0000 7.5513 0.0000
-2.0054 -3.7756 6.8388
Tl Bi Pd
3 2 8
Direct
0.5000 0.0000 0.0000 Tl
0.0000 0.2633 0.0000 Tl
0.0000 0.7367 0.0000 Tl
0.3082 0.3189 0.6378 Bi
0.6918 0.6811 0.3622 Bi
0.1744 0.6637 0.3274 Pd
0.8256 0.3363 0.6726 Pd
0.9247 0.1496 0.2992 Pd
0.0753 0.8504 0.7008 Pd
0.5723 0.6617 0.6866 Pd
0.5723 0.0249 0.6866 Pd
0.4277 0.9751 0.3134 Pd
0.4277 0.3383 0.3134 Pd
```

## Properties
Size of the total moment   0.0 μB/cell
Electronic total energy   -57.5 eV per cell
Energy of formation   -0.0817 eV per atom
SG   C2/m

=====

[2]
Density functional theory data (PBE) for Tl12Bi6Pd after structural relaxation.

POSCAR file:
```
Tl12Bi6Pd
1.0
-3.9708 6.3021 4.0667
-6.5134 -5.1030 1.8862
3.6491 -2.2158 7.3347
Tl Bi Pd
12 6 1
Direct
0.4811 0.1886 0.5778 Tl
0.1886 0.5778 0.4811 Tl
0.5778 0.4811 0.1886 Tl
0.5189 0.8114 0.4222 Tl
0.8114 0.4222 0.5189 Tl
0.4222 0.5189 0.8114 Tl
0.8522 0.9420 0.6256 Tl
0.3744 0.1478 0.0580 Tl
0.0580 0.3744 0.1478 Tl
0.1478 0.0580 0.3744 Tl
0.6256 0.8522 0.9420 Tl
0.9420 0.6256 0.8522 Tl
0.1076 0.2539 0.7664 Bi
0.7461 0.2336 0.8924 Bi
0.2336 0.8924 0.7461 Bi
0.8924 0.7461 0.2336 Bi
0.2539 0.7664 0.1076 Bi
0.7664 0.1076 0.2539 Bi
0.0000 0.0000 0.0000 Pd
```

## Properties
Size of the total moment   0.0 μB/cell
Electronic total energy   -57.3 eV per cell
Energy of formation   -0.0204 eV per atom
SG   R-3

=====

Among the records above, which one has the highest energy of formation?
Tl12Bi6Pd

=====

The highest energy of formation belongs to which entry?
Tl12Bi6Pd

=====

Number 1 is which compound?
Tl3Bi2Pd8